First-principles (GGA-PBE) data for a relaxed YSi4Ru crystal, as listed in Alexandria.

## Properties
Formation energy without anion corrections: 0.58 eV per formula unit
Calculated total energy: -36.85 eV/cell
M_tot: 0.00 μB/f.u.

a b c (Å): 5.1075 5.1075 5.1075
angles (deg): 60.00 60.00 60.00
Atoms (fractional coordinates):
1 Ru 0.0000 0.0000 0.0000
2 Si 0.3742 0.3742 0.8773
3 Si 0.3742 0.8773 0.3742
4 Si 0.3742 0.3742 0.3742
5 Si 0.8773 0.3742 0.3742
6 Y 0.7500 0.7500 0.7500

***

First-principles (GGA-PBE) data for a relaxed GaP2BrCl crystal, as listed in Alexandria.

## Properties
Formation energy without anion corrections: 2.85 eV per formula unit
Calculated total energy: -14.51 eV/cell
M_tot: 1.11 μB/f.u.

a b c (Å): 4.9002 4.9002 4.7822
angles (deg): 90.00 90.00 90.00
Last column: magnetic moment on the atom in μB.
Atoms (fractional coordinates):
1 P 0.5000 0.0000 0.0000  0.26
2 P 0.0000 0.5000 0.0000  0.26
3 Cl 0.0000 0.0000 0.5000  0.05
4 Br 0.5000 0.5000 0.5000  -0.04
5 Ga 0.0000 0.0000 0.0000  -0.01

***

First-principles (GGA-PBE) data for a relaxed ScTeRu crystal, as listed in Alexandria.

## Properties
Formation energy without anion corrections: -0.86 eV per formula unit
Calculated total energy: -19.60 eV/cell
M_tot: 0.00 μB/f.u.

a b c (Å): 5.0866 5.0866 5.0866
angles (deg): 140.52 134.83 61.52
Atoms (fractional coordinates):
1 Te 0.6718 0.6718 0.0000
2 Sc 0.3477 0.3477 0.0000
3 Ru 0.9805 0.9805 0.0000

***

First-principles (GGA-PBE) data for a relaxed ZnOs2W crystal, as listed in Alexandria.

## Properties
Calculated total energy: -35.71 eV/cell
Formation enthalpy at 0 K: 23.6 kJ/mol of atoms
M_tot: 0.00 μB/f.u.

a b c (Å): 4.8677 4.8677 4.6934
angles (deg): 79.97 79.97 33.06
Atoms (fractional coordinates):
1 W 0.4918 0.4918 0.5206
2 Zn 0.2563 0.2563 0.2329
3 Os 0.0121 0.0121 0.0102
4 Os 0.7397 0.7397 0.7363

***

First-principles (GGA-PBE) data for a relaxed InGe2O4 crystal, as listed in Alexandria.

## Properties
Formation energy without anion corrections: -7.46 eV per formula unit
Calculated total energy: -39.27 eV/cell
M_tot: 0.00 μB/f.u.

a b c (Å): 6.3000 6.3000 6.3000
angles (deg): 100.66 100.66 129.05
Atoms (fractional coordinates):
1 Ge 0.7500 0.2500 0.5000
2 Ge 0.2500 0.7500 0.5000
3 In 0.5000 0.5000 0.0000
4 O 0.1601 0.5009 0.6610
5 O 0.4991 0.1601 0.6592
6 O 0.8399 0.4991 0.3390
7 O 0.5009 0.8399 0.3408

***

First-principles (GGA-PBE) data for a relaxed Th2ZrZn crystal, as listed in Alexandria.

## Properties
Calculated total energy: -24.60 eV/cell
Formation enthalpy at 0 K: 1.4 kJ/mol of atoms
M_tot: 0.00 μB/f.u.

a b c (Å): 3.7748 5.2523 5.2523
angles (deg): 90.00 90.00 90.00
Atoms (fractional coordinates):
1 Zr 0.5000 0.0000 0.0000
2 Th 0.0000 0.5000 0.0000
3 Th 0.0000 0.0000 0.5000
4 Zn 0.5000 0.5000 0.5000

***

First-principles (GGA-PBE) data for a relaxed Li2Zn5Rh2 crystal, as listed in Alexandria.

## Properties
Calculated total energy: -54.78 eV/cell
Formation enthalpy at 0 K: -26.7 kJ/mol of atoms
M_tot: 0.00 μB/f.u.

a b c (Å): 4.3298 7.5073 9.0778
angles (deg): 114.42 103.80 90.00
Atoms (fractional coordinates):
1 Zn 0.6623 0.5331 0.3246
2 Zn 0.2497 0.7870 0.5000
3 Zn 0.0798 0.2840 0.1599
4 Zn 0.4200 0.6241 0.8401
5 Zn 0.1623 0.0331 0.3246
6 Zn 0.8377 0.7085 0.6754
7 Zn 0.5800 0.7840 0.1599
8 Zn 0.9202 0.1241 0.8401
9 Zn 0.7503 0.2870 0.5000
10 Zn 0.3377 0.2085 0.6754
11 Rh 0.5940 0.1313 0.1881
12 Rh 0.4060 0.9432 0.8119
13 Rh 0.0942 0.6313 0.1881
14 Rh 0.9058 0.4432 0.8119
15 Li 0.5000 0.3712 0.0000
16 Li 0.0000 0.8712 0.0000
17 Li 0.2503 0.4536 0.5000
18 Li 0.7497 0.9536 0.5000

***

First-principles (GGA-PBE) data for a relaxed TiCd3Pd6 crystal, as listed in Alexandria.

## Properties
Calculated total energy: -92.65 eV/cell
Formation enthalpy at 0 K: -43.7 kJ/mol of atoms
M_tot: 0.00 μB/f.u.

a b c (Å): 4.1386 8.7072 9.2606
angles (deg): 94.38 90.00 90.00
Atoms (fractional coordinates):
1 Pd 0.7500 0.7745 0.5022
2 Pd 0.2500 0.2255 0.4978
3 Pd 0.7500 0.5510 0.8985
4 Pd 0.7500 0.1356 0.6837
5 Pd 0.2500 0.1459 0.2073
6 Pd 0.2500 0.0509 0.8970
7 Pd 0.2500 0.6552 0.6956
8 Pd 0.7500 0.8541 0.7927
9 Pd 0.2500 0.8644 0.3163
10 Pd 0.7500 0.9491 0.1030
11 Pd 0.7500 0.3448 0.3044
12 Pd 0.2500 0.4490 0.1015
13 Cd 0.7500 0.2451 0.0069
14 Cd 0.2500 0.3470 0.7991
15 Cd 0.2500 0.7549 0.9931
16 Cd 0.2500 0.5494 0.4000
17 Cd 0.7500 0.4506 0.6000
18 Cd 0.7500 0.6530 0.2009
19 Ti 0.7500 0.0586 0.3767
20 Ti 0.2500 0.9414 0.6233

***

Question: Among the records above, which one has the highest M_tot?
Answer: GaP2BrCl